(1)
5
Lattice="-3.865 3.244 1.693 -3.549 -2.723 -2.885 -0.977 -3.528 4.531" Properties=species:S:1:pos:R:3 comment="SrLa2SbRu | the Alexandria database | PBE-GGA | relaxed" m_tot_mub_per_cell=0.0 e_form_raw_mev_per_atom=-460 dos_at_fermi_per_ev_cell=4.06 pbc="T T T"
La -1.775 -1.361 -1.443
La -1.933 1.622 0.847
Sr -0.488 -1.764 2.266
Sb -4.196 -1.503 1.670
Ru 0.000 0.000 0.000

=====

(2)
5
Lattice="5.478 0.000 0.000 0.000 5.478 0.000 0.000 0.000 4.872" Properties=species:S:1:pos:R:3 comment="LaSbTe2Ru | the Alexandria database | PBE-GGA | relaxed" m_tot_mub_per_cell=0.0 relative_energy_mev_per_atom=0 e_form_raw_mev_per_atom=-308 dos_at_fermi_per_ev_cell=3.13 pbc="T T T"
Te 2.739 0.000 0.000
Te 0.000 2.739 0.000
Ru 0.000 0.000 0.000
Sb 0.000 0.000 2.436
La 2.739 2.739 2.436

=====

| no. | volume (Å³/cell) |
| --- | --- |
| 1 | 165.1 |
| 2 | 146.2 |